! Tb2Pm2Er3 GGA-PBE optimized geometry; values from VASP
! Total magnetic moment   0.000 μB per atom
! Volume   32.7 Å³ per atom
! VASP energy   -0.1621 hartree per atom
! Symmetry   I2_13, No. 199
! Relative energy among the computed polymorphs   0.2068 eV per atom
&SYSTEM
  ibrav = 0, nat = 14, ntyp = 3
/
ATOMIC_SPECIES
Tb 158.93 Tb.upf
Er 167.26 Er.upf
Pm 145.00 Pm.upf
CELL_PARAMETERS angstrom
7.927 0.000 -2.803
-3.964 6.865 -2.803
0.000 0.000 8.408
ATOMIC_POSITIONS crystal
Tb 0.918 0.500 0.000
Tb 0.582 0.082 0.082
Tb 0.500 0.418 0.500
Tb 0.000 0.000 0.418
Er 0.750 0.555 0.305
Er 0.250 0.945 0.195
Er 0.805 0.250 0.555
Er 0.695 0.750 0.945
Er 0.055 0.305 0.250
Er 0.445 0.195 0.750
Pm 0.186 0.686 0.686
Pm 0.000 0.000 0.814
Pm 0.314 0.500 0.000
Pm 0.500 0.814 0.500

! TbPm3Er6 GGA-PBE optimized geometry; values from VASP
! Total magnetic moment   0.000 μB per atom
! Volume   32.4 Å³ per atom
! VASP energy   -0.1645 hartree per atom
! Symmetry   Cmc2_1, No. 36
! Relative energy among the computed polymorphs   0.1301 eV per atom
&SYSTEM
  ibrav = 0, nat = 20, ntyp = 3
/
ATOMIC_SPECIES
Pm 145.00 Pm.upf
Er 167.26 Er.upf
Tb 158.93 Tb.upf
CELL_PARAMETERS angstrom
-4.107 4.300 1.867
-5.999 -1.846 -8.946
-1.923 -5.777 9.075
ATOMIC_POSITIONS crystal
Pm 0.960 0.061 0.283
Pm 0.960 0.717 0.939
Pm 0.460 0.283 0.061
Pm 0.567 0.610 0.390
Pm 0.067 0.390 0.610
Pm 0.460 0.939 0.717
Er 0.039 0.712 0.618
Er 0.539 0.288 0.382
Er 0.369 0.043 0.464
Er 0.039 0.382 0.288
Er 0.142 0.721 0.279
Er 0.869 0.957 0.536
Er 0.539 0.618 0.712
Er 0.901 0.044 0.956
Er 0.369 0.536 0.957
Er 0.401 0.956 0.044
Er 0.869 0.464 0.043
Er 0.642 0.279 0.721
Tb 0.140 0.204 0.796
Tb 0.640 0.796 0.204